Record 1
DFT (PBE-GGA) results for crystalline CdNiP at its relaxed geometry.

The structure belongs to space group P-6m2 (No. 187); the cell edges are 3.8049, 3.8049 and 3.9141 Å and the angles 90.00°, 90.00° and 120.00°. Symmetry generates all atoms from Cd at (0.0000, 0.0000, 0.0000), Ni at (0.6667, 0.3333, 0.5000) and P at (0.3333, 0.6667, 0.5000).

The calculation puts the formation energy at -135.3 meV/atom.

=====

Record 2
DFT (PBE-GGA) results for crystalline Nd6Zn5Cu at its relaxed geometry.

The structure belongs to space group P2/m (No. 10); the cell edges are 5.185, 7.367 and 8.205 Å and the angles 90.00°, 108.44° and 90.00°. Symmetry generates all atoms from Nd at (0.000, 0.248, 0.000), Nd at (0.336, 0.250, 0.670), Zn at (0.168, 0.500, 0.336), Zn at (0.170, 0.000, 0.342), Zn at (0.500, 0.500, 0.000) and Cu at (0.500, 0.000, 0.000).

The calculation puts the formation energy at -277.1 meV/atom.

=====

Record 3
DFT (PBE-GGA) results for crystalline LiTbNd2Se4 at its relaxed geometry.

The structure belongs to space group P2/m (No. 10); the cell edges are 7.156, 4.139 and 7.183 Å and the angles 90.00°, 109.35° and 90.00°. Symmetry generates all atoms from Li at (0.000, 0.000, 0.000), Tb at (0.500, 0.500, 0.000), Nd at (0.000, 0.500, 0.500), Nd at (0.500, 0.000, 0.500), Se at (0.241, 0.500, 0.234) and Se at (0.249, 0.000, 0.765).

The calculation puts the uncorrected formation energy at -1.7615 eV/atom.